Entry 1:
DFT (PBE) results for a relaxed BaNaNd2Se4 crystal.

Unit cell a=8.7703 b=8.7703 c=8.7717 alpha=120.00 beta=120.00 gamma=89.95
With the nearest neighbours (Å) after each atom.
Element x y z (fractional)
Ba  0.0000  0.5000  0.0000  6 Se 3.22
Ba  0.0000  0.5000  0.5000  6 Se 3.22
Na  0.5000  0.5000  0.5000  6 Se 3.16-3.17
Na  0.0000  0.0000  0.0000  6 Se 3.16-3.17
Nd  0.5000  0.0000  0.0000  6 Se 2.98-2.99
Nd  0.5000  0.0000  0.5000  6 Se 2.98-2.99
Nd  0.0000  0.0000  0.5000  6 Se 3.04-3.05
Nd  0.5000  0.5000  0.0000  6 Se 3.04-3.05
Se  0.2732  0.7638  0.0185  3 Nd 2.99-3.05, 1 Na 3.16, 2 Ba 3.22
Se  0.7362  0.2268  0.4815  3 Nd 2.99-3.05, 1 Na 3.16, 2 Ba 3.22
Se  0.2638  0.7732  0.5185  3 Nd 2.99-3.05, 1 Na 3.16, 2 Ba 3.22
Se  0.7268  0.2362  0.9815  3 Nd 2.99-3.05, 1 Na 3.16, 2 Ba 3.22
Se  0.7404  0.7597  0.0109  3 Nd 2.98-3.04, 2 Na 3.17, 1 Ba 3.22
Se  0.7403  0.7596  0.4891  3 Nd 2.98-3.04, 2 Na 3.17, 1 Ba 3.22
Se  0.2597  0.2404  0.5109  3 Nd 2.98-3.04, 2 Na 3.17, 1 Ba 3.22
Se  0.2596  0.2403  0.9891  3 Nd 2.98-3.04, 2 Na 3.17, 1 Ba 3.22

Properties
- Formation energy (no corrections): -1.793 eV per atom
- Symmetry: Imma
- Electronic total energy: -82.113 eV/cell
- Volume: 29.83 Å³/atom



Entry 2:
DFT (PBE) results for a relaxed BaNaNdSe3 crystal.

Unit cell a=4.4473 b=9.0724 c=9.6375 alpha=105.12 beta=90.00 gamma=90.00
With the nearest neighbours (Å) after each atom.
Element x y z (fractional)
Ba  0.7500  0.7948  0.7623  7 Se 3.36-3.58, 1 Na 3.76
Ba  0.2500  0.2052  0.2377  7 Se 3.36-3.58, 1 Na 3.76
Na  0.2500  0.0896  0.5846  4 Se 2.75-2.90, 2 Na 2.98
Na  0.7500  0.9104  0.4154  4 Se 2.75-2.90, 2 Na 2.98
Nd  0.2500  0.6725  0.1596  6 Se 2.98-3.03
Nd  0.7500  0.3275  0.8404  6 Se 2.98-3.03
Se  0.2500  0.7595  0.4837  3 Na 2.78-2.90, 1 Nd 3.02
Se  0.7500  0.8875  0.1248  1 Na 2.75, 2 Nd 3.03
Se  0.7500  0.4490  0.1595  3 Nd 2.98-3.01
Se  0.7500  0.2405  0.5163  3 Na 2.78-2.90, 1 Nd 3.02
Se  0.2500  0.5510  0.8405  3 Nd 2.98-3.01
Se  0.2500  0.1125  0.8752  1 Na 2.75, 2 Nd 3.03

Properties
- Formation energy (no corrections): -1.681 eV per atom
- Symmetry: P2_1/m
- Electronic total energy: -57.093 eV/cell
- Volume: 31.28 Å³/atom



Entry 3:
DFT (PBE) results for a relaxed Ba2NaNdSe4 crystal.

Unit cell a=4.5121 b=7.7905 c=7.7609 alpha=108.85 beta=90.00 gamma=90.00
With the nearest neighbours (Å) after each atom.
Element x y z (fractional)
Ba  0.5000  0.0000  0.5000  6 Se 3.24-3.25
Ba  0.0000  0.5000  0.5000  6 Se 3.34
Na  0.5000  0.5000  0.0000  6 Se 3.10-3.15
Nd  0.0000  0.0000  0.0000  6 Se 2.99-3.06
Se  0.5000  0.2339  0.2224  2 Nd 3.06, 1 Na 3.10, 3 Ba 3.24-3.34
Se  0.5000  0.7661  0.7776  2 Nd 3.06, 1 Na 3.10, 3 Ba 3.24-3.34
Se  0.0000  0.2436  0.7714  1 Nd 2.99, 2 Na 3.15, 3 Ba 3.25-3.34
Se  0.0000  0.7564  0.2286  1 Nd 2.99, 2 Na 3.15, 3 Ba 3.25-3.34

Properties
- Formation energy (no corrections): -1.809 eV per atom
- Symmetry: P2/m
- Electronic total energy: -38.339 eV/cell
- Volume: 32.27 Å³/atom



Entry 4:
DFT (PBE) results for a relaxed BaNaNdSn crystal.

Unit cell a=5.7831 b=5.7831 c=5.7831 alpha=60.00 beta=60.00 gamma=60.00
With the nearest neighbours (Å) after each atom.
Element x y z (fractional)
Na  0.2500  0.2500  0.2500  4 Nd 3.54, 4 Ba 3.54
Nd  0.0000  0.0000  0.0000  4 Na 3.54, 4 Sn 3.54
Ba  0.5000  0.5000  0.5000  4 Sn 3.54, 4 Na 3.54
Sn  0.7500  0.7500  0.7500  4 Ba 3.54, 4 Nd 3.54

Properties
- Symmetry: F-43m
- Electronic total energy: -13.154 eV/cell
- Volume: 34.19 Å³/atom



Entry 5:
DFT (PBE) results for a relaxed BaNaNdTe3 crystal.

Unit cell a=4.7163 b=9.5290 c=10.3280 alpha=105.33 beta=90.00 gamma=90.00
With the nearest neighbours (Å) after each atom.
Element x y z (fractional)
Ba  0.7500  0.7951  0.7584  7 Te 3.55-3.72
Ba  0.2500  0.2049  0.2416  7 Te 3.55-3.72
Na  0.2500  0.0892  0.5861  4 Te 2.97-3.13, 2 Na 3.16
Na  0.7500  0.9108  0.4139  4 Te 2.97-3.13, 2 Na 3.16
Nd  0.2500  0.6748  0.1580  6 Te 3.20-3.24
Nd  0.7500  0.3252  0.8420  6 Te 3.20-3.24
Te  0.2500  0.7490  0.4823  3 Na 3.00-3.13, 1 Nd 3.24
Te  0.7500  0.8954  0.1225  1 Na 2.97, 2 Nd 3.24
Te  0.7500  0.4480  0.1614  3 Nd 3.20-3.21, 2 Ba 3.55
Te  0.7500  0.2510  0.5177  3 Na 3.00-3.13, 1 Nd 3.24
Te  0.2500  0.5520  0.8386  3 Nd 3.20-3.21, 2 Ba 3.55
Te  0.2500  0.1046  0.8775  1 Na 2.97, 2 Nd 3.24

Properties
- Formation energy (no corrections): -1.384 eV per atom
- Symmetry: P2_1/m
- Electronic total energy: -51.479 eV/cell
- Volume: 37.30 Å³/atom



Entry 6:
DFT (PBE) results for a relaxed Ba2NaNdTe4 crystal.

Unit cell a=4.7915 b=8.3037 c=8.2428 alpha=108.90 beta=90.00 gamma=90.00
With the nearest neighbours (Å) after each atom.
Element x y z (fractional)
Ba  0.5000  0.0000  0.5000  6 Te 3.46-3.47
Ba  0.0000  0.5000  0.5000  6 Te 3.54
Na  0.5000  0.5000  0.0000  6 Te 3.29-3.33
Nd  0.0000  0.0000  0.0000  6 Te 3.20-3.26
Te  0.5000  0.2357  0.2229  2 Nd 3.26, 1 Na 3.29, 3 Ba 3.46-3.54
Te  0.5000  0.7643  0.7771  2 Nd 3.26, 1 Na 3.29, 3 Ba 3.46-3.54
Te  0.0000  0.2470  0.7725  1 Nd 3.20, 2 Na 3.33, 3 Ba 3.47-3.54
Te  0.0000  0.7530  0.2275  1 Nd 3.20, 2 Na 3.33, 3 Ba 3.47-3.54

Properties
- Formation energy (no corrections): -1.512 eV per atom
- Symmetry: P2/m
- Electronic total energy: -34.595 eV/cell
- Volume: 38.78 Å³/atom



Entry 7:
DFT (PBE) results for a relaxed BaNaNd2Te4 crystal.

Unit cell a=4.6825 b=8.0279 c=15.9698 alpha=90.00 beta=90.00 gamma=106.96
With the nearest neighbours (Å) after each atom.
Element x y z (fractional)
Ba  0.1303  0.2607  0.7500  6 Te 3.48-3.59
Ba  0.8697  0.7393  0.2500  6 Te 3.48-3.59
Na  0.8545  0.7090  0.7500  4 Te 2.87-2.92
Na  0.1455  0.2910  0.2500  4 Te 2.87-2.92
Nd  0.3765  0.7529  0.5581  6 Te 3.15-3.34
Nd  0.6235  0.2471  0.0581  6 Te 3.15-3.34
Nd  0.6235  0.2471  0.4419  6 Te 3.15-3.34
Nd  0.3765  0.7529  0.9419  6 Te 3.15-3.34
Te  0.2684  0.5368  0.1103  1 Na 2.92, 1 Nd 3.16
Te  0.7316  0.4632  0.6103  1 Na 2.92, 1 Nd 3.16
Te  0.7316  0.4632  0.8897  1 Na 2.92, 1 Nd 3.16
Te  0.2684  0.5368  0.3897  1 Na 2.92, 1 Nd 3.16
Te  0.0000  0.0000  0.5000  4 Nd 3.15
Te  0.0000  0.0000  0.0000  4 Nd 3.15
Te  0.4631  0.9262  0.7500  2 Na 2.87
Te  0.5369  0.0738  0.2500  2 Na 2.87

Properties
- Formation energy (no corrections): -1.376 eV per atom
- Symmetry: Cmcm
- Electronic total energy: -72.706 eV/cell
- Volume: 35.89 Å³/atom



Entry 8:
DFT (PBE) results for a relaxed Ba3NaNd2Te6 crystal.

Unit cell a=8.2223 b=8.2223 c=8.2853 alpha=99.50 beta=99.50 gamma=119.98
With the nearest neighbours (Å) after each atom.
Element x y z (fractional)
Ba  0.1638  0.8362  0.5000  6 Te 3.47-3.51
Ba  0.8362  0.1638  0.5000  6 Te 3.47-3.51
Ba  0.5000  0.5000  0.5000  6 Te 3.46-3.50
Na  0.0000  0.0000  0.0000  6 Te 3.29-3.31
Nd  0.3326  0.6674  0.0000  6 Te 3.23
Nd  0.6674  0.3326  0.0000  6 Te 3.23
Te  0.9246  0.5844  0.7747  2 Nd 3.23, 1 Na 3.31, 3 Ba 3.47-3.51
Te  0.7342  0.7342  0.2218  2 Nd 3.23, 1 Na 3.29, 3 Ba 3.46-3.49
Te  0.0754  0.4156  0.2253  2 Nd 3.23, 1 Na 3.31, 3 Ba 3.47-3.51
Te  0.5844  0.9246  0.7747  2 Nd 3.23, 1 Na 3.31, 3 Ba 3.47-3.51
Te  0.2658  0.2658  0.7782  2 Nd 3.23, 1 Na 3.29, 3 Ba 3.46-3.49
Te  0.4156  0.0754  0.2253  2 Nd 3.23, 1 Na 3.31, 3 Ba 3.47-3.51

Properties
- Formation energy (no corrections): -1.549 eV per atom
- Symmetry: C2/m
- Electronic total energy: -54.062 eV/cell
- Volume: 38.17 Å³/atom